Computed, not measured: a relaxed structure of Dy8ZnGa2 at the PBE level of DFT.

a = 9.395 Å, b = 9.395 Å, c = 6.697 Å
α = 102.00°, β = 102.00°, γ = 30.99°
Sites, in units of the cell vectors:
Dy (0.024, 0.024, 0.270)
Dy (0.203, 0.203, 0.809)
Dy (0.341, 0.341, 0.532)
Dy (0.408, 0.408, 0.040)
Dy (0.592, 0.592, 0.960)
Dy (0.659, 0.659, 0.468)
Dy (0.797, 0.797, 0.191)
Dy (0.976, 0.976, 0.730)
Zn (0.500, 0.500, 0.500)
Ga (0.190, 0.190, 0.245)
Ga (0.810, 0.810, 0.755)

Properties
N(E_F): 11.74 states/eV/f.u.
SG: C2/m
DFT total energy: -46.890 eV per cell